# 1
DFT (GGA-PBE) results for a geometry-optimized Zr2BeCr structure.

Cell: 3.1618 3.1618 24.4069 Å, 90.00 90.00 120.00°
Fractional coordinates of all 12 atoms:
Zr: 0.0000 0.0000 0.2466
Zr: 0.0000 0.0000 0.7534
Zr: 0.3333 0.6667 0.4201
Zr: 0.3333 0.6667 0.9132
Zr: 0.6667 0.3333 0.0868
Zr: 0.6667 0.3333 0.5799
Be: 0.0000 0.0000 0.5000
Be: 0.3333 0.6667 0.1667
Be: 0.6667 0.3333 0.8333
Cr: 0.0000 0.0000 0.0000
Cr: 0.3333 0.6667 0.6667
Cr: 0.6667 0.3333 0.3333

The space group is R-3m, No. 166. As for the total energy: -86.41 eV for the cell shown. The total magnetization is 4.32 μB/cell. For the formation energy, the calculation gives 39.6 kJ/mol of atoms.

=====

# 2
DFT (GGA-PBE) results for a geometry-optimized ZrBe2Cr structure.

Cell: 2.6804 2.6804 25.8775 Å, 90.00 90.00 120.00°
Fractional coordinates of all 12 atoms:
Zr: 0.0000 0.0000 0.0000
Zr: 0.3333 0.6667 0.6667
Zr: 0.6667 0.3333 0.3333
Be: 0.0000 0.0000 0.2393
Be: 0.0000 0.0000 0.7607
Be: 0.3333 0.6667 0.4273
Be: 0.3333 0.6667 0.9060
Be: 0.6667 0.3333 0.0940
Be: 0.6667 0.3333 0.5727
Cr: 0.0000 0.0000 0.5000
Cr: 0.3333 0.6667 0.1667
Cr: 0.6667 0.3333 0.8333

For the energy above the most stable polymorph in this dataset, the calculation gives 464 meV per atom. The space group is R-3m, No. 166. As for the total energy: -70.85 eV for the cell shown. The total magnetization is 0.00 μB/cell. For the formation energy, the calculation gives 48.4 kJ/mol of atoms.

=====

# 3
DFT (GGA-PBE) results for a geometry-optimized ZrBe4Cr structure.

Cell: 4.5580 4.5580 4.5580 Å, 60.00 60.00 60.00°
Fractional coordinates of all 6 atoms:
Zr: 0.0000 0.0000 0.0000
Be: 0.1299 0.6234 0.6234
Be: 0.6234 0.1299 0.6234
Be: 0.6234 0.6234 0.1299
Be: 0.6234 0.6234 0.6234
Cr: 0.2500 0.2500 0.2500

The space group is F-43m, No. 216. As for the total energy: -33.81 eV for the cell shown. The total magnetization is 1.92 μB/cell. For the formation energy, the calculation gives -11.9 kJ/mol of atoms.

=====

# 4
DFT (GGA-PBE) results for a geometry-optimized Zr2BeCr structure.

Cell: 6.4687 6.4687 6.4687 Å, 90.00 90.00 90.00°
Fractional coordinates of all 16 atoms:
Zr: 0.0000 0.0000 0.0000
Zr: 0.0000 0.5000 0.5000
Zr: 0.2500 0.2500 0.2500
Zr: 0.2500 0.7500 0.7500
Zr: 0.5000 0.0000 0.5000
Zr: 0.5000 0.5000 0.0000
Zr: 0.7500 0.2500 0.7500
Zr: 0.7500 0.7500 0.2500
Be: 0.2500 0.2500 0.7500
Be: 0.2500 0.7500 0.2500
Be: 0.7500 0.2500 0.2500
Be: 0.7500 0.7500 0.7500
Cr: 0.0000 0.0000 0.5000
Cr: 0.0000 0.5000 0.0000
Cr: 0.5000 0.0000 0.0000
Cr: 0.5000 0.5000 0.5000

The space group is F-43m, No. 216. As for the total energy: -116.71 eV for the cell shown. The total magnetization is 7.41 μB/cell. For the formation energy, the calculation gives 30.6 kJ/mol of atoms.

=====

# 5
DFT (GGA-PBE) results for a geometry-optimized ZrBe2Cr structure.

Cell: 2.6800 2.6800 7.0611 Å, 90.00 90.00 90.00°
Fractional coordinates of all 4 atoms:
Zr: 0.0000 0.0000 0.0000
Be: 0.0000 0.0000 0.4468
Be: 0.5000 0.5000 0.2912
Cr: 0.5000 0.5000 0.6644

For the energy above the most stable polymorph in this dataset, the calculation gives 225 meV per atom. The space group is P4mm, No. 99. As for the total energy: -24.57 eV for the cell shown. The total magnetization is 0.00 μB/cell. For the formation energy, the calculation gives 25.4 kJ/mol of atoms.

=====

# 6
DFT (GGA-PBE) results for a geometry-optimized Zr2Be15Cr2 structure.

Cell: 5.7490 5.7490 5.7490 Å, 85.00 85.00 85.00°
Fractional coordinates of all 19 atoms:
Zr: 0.1571 0.1571 0.1571
Zr: 0.8429 0.8429 0.8429
Be: 0.0000 0.5000 0.5000
Be: 0.1574 0.1574 0.6582
Be: 0.1574 0.6582 0.1574
Be: 0.2084 0.5000 0.7916
Be: 0.2084 0.7916 0.5000
Be: 0.3418 0.8426 0.8426
Be: 0.5000 0.0000 0.5000
Be: 0.5000 0.2084 0.7916
Be: 0.5000 0.5000 0.0000
Be: 0.5000 0.7916 0.2084
Be: 0.6582 0.1574 0.1574
Be: 0.7916 0.2084 0.5000
Be: 0.7916 0.5000 0.2084
Be: 0.8426 0.3418 0.8426
Be: 0.8426 0.8426 0.3418
Cr: 0.4091 0.4091 0.4091
Cr: 0.5909 0.5909 0.5909

The space group is R-3m, No. 166. As for the total energy: -95.95 eV for the cell shown. The total magnetization is 0.00 μB/cell. For the formation energy, the calculation gives -18.9 kJ/mol of atoms.

=====

# 7
DFT (GGA-PBE) results for a geometry-optimized Zr2BeCr structure.

Cell: 3.5128 3.8156 5.3484 Å, 90.00 109.06 90.00°
Fractional coordinates of all 4 atoms:
Zr: 0.0000 0.0000 0.0000
Zr: 0.2908 0.5000 0.5844
Be: 0.5795 0.5000 0.1599
Cr: 0.7079 0.0000 0.4181

The space group is Pm, No. 6. As for the total energy: -30.26 eV for the cell shown. The total magnetization is 0.00 μB/cell. For the formation energy, the calculation gives 4.5 kJ/mol of atoms.

=====

# 8
DFT (GGA-PBE) results for a geometry-optimized ZrBe2Cr structure.

Cell: 5.9593 5.9593 5.9593 Å, 90.00 90.00 90.00°
Fractional coordinates of all 16 atoms:
Zr: 0.0000 0.0000 0.0000
Zr: 0.0000 0.5000 0.5000
Zr: 0.5000 0.0000 0.5000
Zr: 0.5000 0.5000 0.0000
Be: 0.2500 0.2500 0.2500
Be: 0.2500 0.2500 0.7500
Be: 0.2500 0.7500 0.2500
Be: 0.2500 0.7500 0.7500
Be: 0.7500 0.2500 0.2500
Be: 0.7500 0.2500 0.7500
Be: 0.7500 0.7500 0.2500
Be: 0.7500 0.7500 0.7500
Cr: 0.0000 0.0000 0.5000
Cr: 0.0000 0.5000 0.0000
Cr: 0.5000 0.0000 0.0000
Cr: 0.5000 0.5000 0.5000

For the energy above the most stable polymorph in this dataset, the calculation gives 25 meV per atom. The space group is Fm-3m, No. 225. As for the total energy: -101.50 eV for the cell shown. The total magnetization is 10.22 μB/cell. For the formation energy, the calculation gives 6.0 kJ/mol of atoms.